DFT (PBE) results for an optimized crystal structure of TbPmGd.

Summary:
**E_form**: 746 meV/atom
**Crystal system**: cubic

Cell: 7.7424 7.7424 7.7424 Å, 90.00 90.00 90.00°
Atoms (fractional coordinates):
Tb 0.0000 0.0000 0.0000
Tb 0.0000 0.5000 0.5000
Tb 0.5000 0.0000 0.5000
Tb 0.5000 0.5000 0.0000
Pm 0.2500 0.2500 0.7500
Pm 0.2500 0.7500 0.2500
Pm 0.7500 0.2500 0.2500
Pm 0.7500 0.7500 0.7500
Gd 0.0000 0.0000 0.5000
Gd 0.0000 0.5000 0.0000
Gd 0.5000 0.0000 0.0000
Gd 0.5000 0.5000 0.5000